No. 1
Here is an optimized crystal structure of Zn2InRu from the Alexandria database. Energies are from GGA-PBEsol.

Values from the calculation:
- formation energy (meV/atom) = 215
- N(E_F) (states/eV per cell) = 3.3
- M_tot (μB/f.u.) = 0.00
- calculated total energy (eV for the cell shown) = -15.461
- SG = No. 160

a b c (Å): 2.9346 2.9346 8.7511
angles (deg): 80.35 80.35 60.00
Closest atoms and distances in Å follow each position.
Fractional positions:
Zn1 0.9976 0.9976 0.0073  3 Ru 2.59, 3 Zn 2.65
Zn2 0.7435 0.7435 0.7696  9 Zn 2.65-2.93, 3 In 2.95
Ru1 0.2550 0.2550 0.2350  3 Zn 2.59, 3 In 2.75
In1 0.5040 0.5040 0.4881  3 Ru 2.75, 6 In 2.93, 3 Zn 2.95

***

No. 2
Here is an optimized crystal structure of ZrMo2Pt from the Alexandria database. Energies are from GGA-PBEsol.

Values from the calculation:
- formation energy (meV/atom) = -234
- N(E_F) (states/eV per cell) = 4.4
- M_tot (μB/f.u.) = 0.00
- calculated total energy (eV for the cell shown) = -40.526
- SG = No. 47

a b c (Å): 3.4492 4.2035 4.5533
angles (deg): 90.00 90.00 90.00
Closest atoms and distances in Å follow each position.
Fractional positions:
Mo1 0.5000 0.5000 0.0000  4 Mo 2.72, 4 Zr 2.86
Mo2 0.0000 0.0000 0.0000  4 Mo 2.72, 4 Pt 2.86
Zr1 0.0000 0.5000 0.5000  4 Pt 2.72, 4 Mo 2.86
Pt1 0.5000 0.0000 0.5000  4 Zr 2.72, 4 Mo 2.86

***

No. 3
Here is an optimized crystal structure of SnP2PbO8 from the Alexandria database. Energies are from GGA-PBEsol.

Values from the calculation:
- N(E_F) (states/eV per cell) = 0.0
- M_tot (μB/f.u.) = 0.00
- uncorrected formation energy (meV per atom) = -2001
- calculated total energy (eV for the cell shown) = -343.369
- SG = No. 14

a b c (Å): 4.8502 8.8677 14.7459
angles (deg): 90.00 90.00 92.93
Closest atoms and distances in Å follow each position.
Fractional positions:
P1 0.7444 0.2952 0.0231  4 O 1.53-1.56
P2 0.2852 0.1103 0.2366  4 O 1.51-1.57
P3 0.7148 0.8897 0.7634  4 O 1.51-1.57
P4 0.2556 0.7048 0.9769  4 O 1.53-1.56
P5 0.2444 0.7952 0.4769  4 O 1.53-1.56
P6 0.2148 0.3897 0.7366  4 O 1.51-1.57
P7 0.7556 0.2048 0.5231  4 O 1.53-1.56
P8 0.7852 0.6103 0.2634  4 O 1.51-1.57
O1 0.0960 0.6625 0.8902  1 P 1.53
O2 0.5666 0.0330 0.2468  1 P 1.57
O3 0.8451 0.9465 0.8507  1 P 1.51
O4 0.3607 0.8768 0.5629  1 P 1.55
O5 0.6549 0.5535 0.3507  1 P 1.51
O6 0.8589 0.7844 0.2651  1 P 1.57
O7 0.9390 0.8363 0.4629  1 P 1.56
O8 0.9334 0.4670 0.7468  1 P 1.57
O9 0.1411 0.2156 0.7349  1 P 1.57
O10 0.1549 0.0535 0.1493  1 P 1.51
O11 0.5610 0.6637 0.9629  1 P 1.56
O12 0.8947 0.9158 0.6772  1 P 1.55
O13 0.4040 0.8375 0.3902  1 P 1.53
O14 0.7568 0.1252 0.0028  1 P 1.54
O15 0.2568 0.6252 0.4972  1 P 1.54
O16 0.0610 0.1637 0.5371  1 P 1.56
O17 0.4334 0.9670 0.7532  1 P 1.57
O18 0.7432 0.3748 0.5028  1 P 1.54
O19 0.4390 0.3363 0.0371  1 P 1.56
O20 0.3451 0.4465 0.6493  1 P 1.51
O21 0.3589 0.2844 0.2349  1 P 1.57
O22 0.1053 0.0842 0.3228  1 P 1.55
O23 0.8607 0.3768 0.9371  1 P 1.55
O24 0.5960 0.1625 0.6098  1 P 1.53
O25 0.0666 0.5330 0.2532  1 P 1.57
O26 0.9040 0.3375 0.1098  1 P 1.53
O27 0.6393 0.1232 0.4371  1 P 1.55
O28 0.2432 0.8748 0.9972  1 P 1.54
O29 0.1393 0.6232 0.0629  1 P 1.55
O30 0.6053 0.5842 0.1772  1 P 1.55
O31 0.6411 0.7156 0.7651  1 P 1.57
O32 0.3947 0.4158 0.8228  1 P 1.55
Sn1 0.2345 0.0506 0.6419  6 O 2.03-2.07
Sn2 0.2655 0.4494 0.1419  6 O 2.03-2.07
Sn3 0.7655 0.9494 0.3581  6 O 2.03-2.07
Sn4 0.7345 0.5506 0.8581  6 O 2.03-2.07
Pb1 0.7861 0.9064 0.0988  2 O 2.28-2.41
Pb2 0.2139 0.0936 0.9012  2 O 2.28-2.41
Pb3 0.7139 0.5936 0.5988  2 O 2.28-2.41
Pb4 0.2861 0.4064 0.4012  2 O 2.28-2.41

***

Copy entry 2 word for word.
Here is an optimized crystal structure of ZrMo2Pt from the Alexandria database. Energies are from GGA-PBEsol.

Values from the calculation:
- formation energy (meV/atom) = -234
- N(E_F) (states/eV per cell) = 4.4
- M_tot (μB/f.u.) = 0.00
- calculated total energy (eV for the cell shown) = -40.526
- SG = No. 47

a b c (Å): 3.4492 4.2035 4.5533
angles (deg): 90.00 90.00 90.00
Closest atoms and distances in Å follow each position.
Fractional positions:
Mo1 0.5000 0.5000 0.0000  4 Mo 2.72, 4 Zr 2.86
Mo2 0.0000 0.0000 0.0000  4 Mo 2.72, 4 Pt 2.86
Zr1 0.0000 0.5000 0.5000  4 Pt 2.72, 4 Mo 2.86
Pt1 0.5000 0.0000 0.5000  4 Zr 2.72, 4 Mo 2.86

***

Question: The lowest calculated total energy belongs to which entry?
Answer: SnP2PbO8

***

Question: The lowest N(E_F) belongs to which entry?
Answer: SnP2PbO8

***

Question: Look up the N(E_F) of the third one.
Answer: 0.0 states/eV per cell